# Al2ReNi

An optimized crystal structure of Al2ReNi (GGA-PBE, the Alexandria database).

Results
SG ... Fm-3m, No. 225
Calculated total energy ... -6.74 eV/atom

Cell lengths 4.2252, 4.2252, 4.2252 Å; angles 60.00, 60.00, 60.00 degrees
Closest atoms and distances in Å follow each position.
Element x y z (fractional)
Ni  0.0000  0.0000  0.0000  8 Al 2.59
Al  0.7500  0.7500  0.7500  4 Ni 2.59, 4 Re 2.59
Al  0.2500  0.2500  0.2500  4 Re 2.59, 4 Ni 2.59
Re  0.5000  0.5000  0.5000  8 Al 2.59

# Tb3Pm2Nd8

An optimized crystal structure of Tb3Pm2Nd8 (GGA-PBE, the Alexandria database).

Results
SG ... C2/m, No. 12
Calculated total energy ... -4.57 eV/atom

Cell lengths 6.1730, 11.8986, 8.9673 Å; angles 131.56, 72.49, 90.00 degrees
Closest atoms and distances in Å follow each position.
Element x y z (fractional)
Nd  0.7622  0.4172  0.8344  4 Nd 3.10-3.46, 2 Pm 3.28-3.46
Nd  0.3390  0.4061  0.3295  2 Nd 3.41-3.59, 2 Pm 3.45-3.75, 3 Tb 3.52-3.79
Nd  0.6610  0.0766  0.6705  2 Nd 3.41-3.59, 2 Pm 3.45-3.75, 3 Tb 3.52-3.79
Nd  0.3390  0.9234  0.3295  2 Nd 3.41-3.59, 2 Pm 3.45-3.75, 3 Tb 3.52-3.79
Nd  0.0919  0.8598  0.7197  1 Pm 3.30, 3 Tb 3.37-3.59, 2 Nd 3.46
Nd  0.6610  0.5939  0.6705  2 Nd 3.41-3.59, 2 Pm 3.45-3.75, 3 Tb 3.52-3.79
Nd  0.2378  0.5828  0.1656  4 Nd 3.10-3.46, 2 Pm 3.28-3.46
Nd  0.9081  0.1402  0.2803  1 Pm 3.30, 3 Tb 3.37-3.59, 2 Nd 3.46
Pm  0.6568  0.6929  0.3859  6 Nd 3.28-3.49
Pm  0.3432  0.3071  0.6141  6 Nd 3.28-3.49
Tb  0.0000  0.2643  0.0000  8 Nd 3.54-3.79, 2 Pm 3.83
Tb  0.0000  0.7357  0.0000  8 Nd 3.54-3.79, 2 Pm 3.83
Tb  0.5000  0.0000  0.0000  8 Nd 3.37-3.70

# Tc2AsW

An optimized crystal structure of Tc2AsW (GGA-PBE, the Alexandria database).

Results
SG ... R-3m, No. 166
Calculated total energy ... -9.46 eV/atom

Cell lengths 8.5495, 8.5495, 8.5496 Å; angles 19.58, 19.58, 19.58 degrees
Closest atoms and distances in Å follow each position.
Element x y z (fractional)
W  0.2500  0.2500  0.2500  6 Tc 2.71, 6 W 2.91
Tc  0.4986  0.4986  0.4986  3 As 2.66, 3 W 2.71, 6 Tc 2.91
Tc  0.0014  0.0014  0.0014  3 As 2.66, 3 W 2.71, 6 Tc 2.91
As  0.7500  0.7500  0.7500  6 Tc 2.66, 6 As 2.91

# KBeIr2

An optimized crystal structure of KBeIr2 (GGA-PBE, the Alexandria database).

Results
SG ... P4/mmm, No. 123
Calculated total energy ... -4.49 eV/atom

Cell lengths 4.3523, 3.9010, 3.9010 Å; angles 90.00, 90.00, 90.00 degrees
Closest atoms and distances in Å follow each position.
Element x y z (fractional)
Ir  0.0000  0.0000  0.0000  4 Ir 2.76, 4 Be 2.92, 4 K 2.92
Ir  0.0000  0.5000  0.5000  4 Ir 2.76, 4 Be 2.92, 4 K 2.92
K  0.5000  0.5000  0.0000  4 Be 2.76, 8 Ir 2.92
Be  0.5000  0.0000  0.5000  4 K 2.76, 8 Ir 2.92

# Tm6CdAg3

An optimized crystal structure of Tm6CdAg3 (GGA-PBE, the Alexandria database).

Results
SG ... P2_1/m, No. 11
Calculated total energy ... -3.83 eV/atom

Cell lengths 4.9946, 9.0336, 11.6583 Å; angles 105.05, 90.00, 90.00 degrees
Closest atoms and distances in Å follow each position.
Element x y z (fractional)
Tm  0.2500  0.5107  0.1126  4 Ag 3.02-3.24
Tm  0.7500  0.8844  0.8372  3 Ag 3.23-3.29, 6 Tm 3.26-3.50, 2 Cd 3.58
Tm  0.7500  0.1384  0.6561  3 Ag 3.02-3.10, 3 Cd 3.04-3.25
Tm  0.7500  0.8493  0.1084  3 Ag 2.79-2.94, 1 Cd 3.12
Tm  0.2500  0.8616  0.3439  3 Ag 3.02-3.10, 3 Cd 3.04-3.25
Tm  0.2500  0.2719  0.4823  4 Ag 2.89-3.22, 2 Cd 3.22
Tm  0.2500  0.1156  0.1628  3 Ag 3.23-3.29, 6 Tm 3.26-3.50, 2 Cd 3.58
Tm  0.2500  0.1507  0.8916  3 Ag 2.79-2.94, 1 Cd 3.12
Tm  0.7500  0.4893  0.8874  4 Ag 3.02-3.24
Tm  0.7500  0.7281  0.5177  4 Ag 2.89-3.22, 2 Cd 3.22
Tm  0.7500  0.3530  0.2898  4 Ag 2.85-3.04, 1 Cd 3.02
Tm  0.2500  0.6470  0.7102  4 Ag 2.85-3.04, 1 Cd 3.02
Ag  0.2500  0.7763  0.9715  7 Tm 2.94-3.29
Ag  0.7500  0.6575  0.2615  5 Tm 2.79-3.10
Ag  0.7500  0.2237  0.0285  7 Tm 2.94-3.29
Ag  0.7500  0.4593  0.6235  7 Tm 3.00-3.22, 2 Ag 3.14
Ag  0.2500  0.3425  0.7385  5 Tm 2.79-3.10
Ag  0.2500  0.5407  0.3765  7 Tm 3.00-3.22, 2 Ag 3.14
Cd  0.2500  0.9407  0.6326  7 Tm 3.02-3.25
Cd  0.7500  0.0593  0.3674  7 Tm 3.02-3.25

# Re2SiTe

An optimized crystal structure of Re2SiTe (GGA-PBE, the Alexandria database).

Results
E_form (uncorrected) ... 519 meV per atom
SG ... Imm2, No. 44

Cell lengths 5.8144, 5.8144, 5.8144 Å; angles 148.30, 139.79, 52.08 degrees
Closest atoms and distances in Å follow each position.
Element x y z (fractional)
Re  0.7075  0.2075  0.5000  2 Si 2.44, 4 Te 2.69
Re  0.9750  0.9750  0.0000  4 Si 2.62, 2 Te 2.80
Si  0.5297  0.5297  0.0000  6 Re 2.44-2.62
Te  0.2878  0.7878  0.5000  6 Re 2.69-2.80, 2 Si 2.98

# SrHgW2

An optimized crystal structure of SrHgW2 (GGA-PBE, the Alexandria database).

Results
SG ... P4/mmm, No. 123
Calculated total energy ... -5.84 eV/atom

Cell lengths 3.6901, 3.6901, 7.0538 Å; angles 90.00, 90.00, 90.00 degrees
Closest atoms and distances in Å follow each position.
Element x y z (fractional)
Sr  0.5000  0.5000  0.7500  8 W 3.53, 2 Hg 3.53, 4 Sr 3.69
W  0.0000  0.0000  0.0860  1 W 2.31
W  0.0000  0.0000  0.4140  1 W 2.31
Hg  0.5000  0.5000  0.2500  8 W 2.85

# CuHgPb2

An optimized crystal structure of CuHgPb2 (GGA-PBE, the Alexandria database).

Results
SG ... F-43m, No. 216
Calculated total energy ... -2.62 eV/atom

Cell lengths 5.2459, 5.2459, 5.2459 Å; angles 60.00, 60.00, 60.00 degrees
Closest atoms and distances in Å follow each position.
Element x y z (fractional)
Hg  0.7500  0.7500  0.7500  4 Cu 3.21, 4 Pb 3.21
Pb  0.2500  0.2500  0.2500  4 Pb 3.21, 4 Cu 3.21
Pb  0.0000  0.0000  0.0000  4 Hg 3.21, 4 Pb 3.21
Cu  0.5000  0.5000  0.5000  4 Pb 3.21, 4 Hg 3.21

# ErZrTcNi

An optimized crystal structure of ErZrTcNi (GGA-PBE, the Alexandria database).

Results
SG ... F-43m, No. 216
Calculated total energy ... -7.60 eV/atom

Cell lengths 4.6826, 4.6826, 4.6826 Å; angles 60.00, 60.00, 60.00 degrees
Closest atoms and distances in Å follow each position.
Element x y z (fractional)
Tc  0.2500  0.2500  0.2500  4 Zr 2.87, 4 Er 2.87
Er  0.0000  0.0000  0.0000  4 Ni 2.87, 4 Tc 2.87
Zr  0.5000  0.5000  0.5000  4 Tc 2.87, 4 Ni 2.87
Ni  0.7500  0.7500  0.7500  4 Zr 2.87, 4 Er 2.87

# Na14Al2Se9

An optimized crystal structure of Na14Al2Se9 (GGA-PBE, the Alexandria database).

Results
E_form (uncorrected) ... -960 meV per atom
SG ... P-3, No. 147

Cell lengths 8.3782, 8.3782, 11.4214 Å; angles 90.00, 90.00, 120.00 degrees
Closest atoms and distances in Å follow each position.
Element x y z (fractional)
Na  0.3214  0.3570  0.9067  4 Se 2.97-3.05
Na  0.9099  0.5932  0.3977  4 Se 2.96-3.10
Na  0.3168  0.9099  0.6023  4 Se 2.96-3.10
Na  0.6786  0.6430  0.0933  4 Se 2.97-3.05
Na  0.0000  0.0000  0.2534  4 Se 2.89-2.96
Na  0.0356  0.6786  0.9067  4 Se 2.97-3.05
Na  0.0000  0.0000  0.7466  4 Se 2.89-2.96
Na  0.6832  0.0901  0.3977  4 Se 2.96-3.10
Na  0.9644  0.3214  0.0933  4 Se 2.97-3.05
Na  0.5932  0.6832  0.6023  4 Se 2.96-3.10
Na  0.4068  0.3168  0.3977  4 Se 2.96-3.10
Na  0.6430  0.9644  0.9067  4 Se 2.97-3.05
Na  0.3570  0.0356  0.0933  4 Se 2.97-3.05
Na  0.0901  0.4068  0.6023  4 Se 2.96-3.10
Se  0.7220  0.0911  0.6595  1 Al 2.45
Se  0.3333  0.6667  0.0511  1 Al 2.46
Se  0.2780  0.9089  0.3405  1 Al 2.45
Se  0.3691  0.2780  0.6595  1 Al 2.45
Se  0.0000  0.0000  0.0000  8 Na 2.89-3.05
Se  0.9089  0.6309  0.6595  1 Al 2.45
Se  0.0911  0.3691  0.3405  1 Al 2.45
Se  0.6667  0.3333  0.9489  1 Al 2.46
Se  0.6309  0.7220  0.3405  1 Al 2.45
Al  0.3333  0.6667  0.2662  4 Se 2.45-2.46
Al  0.6667  0.3333  0.7338  4 Se 2.45-2.46

# Mn2AsPt

An optimized crystal structure of Mn2AsPt (GGA-PBE, the Alexandria database).

Results
SG ... R3m, No. 160
Calculated total energy ... -7.18 eV/atom

Cell lengths 8.4929, 8.4929, 8.4929 Å; angles 19.38, 19.38, 19.38 degrees
Closest atoms and distances in Å follow each position.
Element x y z (fractional)
Mn  0.9976  0.9976  0.9976  3 Mn 2.51, 3 As 2.55
Mn  0.2553  0.2553  0.2553  3 Mn 2.51, 3 Pt 2.67
Pt  0.5049  0.5049  0.5049  3 Mn 2.67, 6 Pt 2.86, 3 As 2.91
As  0.7422  0.7422  0.7422  3 Mn 2.55